(1)
Compound: Pa3TcSe2
Source: Alexandria
Functional: PBE
Structure: optimized geometry

Values from the calculation:
total energy = -8.47 eV per atom
density = 11.2 g cm⁻³
symmetry = I4/mmm
DOS(E_F) = 9.707 states/eV/f.u.

a b c (Å): 9.018 9.018 9.018
angles (deg): 154.04 154.04 37.04
Fractional coordinates of all 6 atoms:
Pa (0.000, 0.000, 0.000)
Pa (0.344, 0.344, 0.000)
Pa (0.656, 0.656, 0.000)
Tc (0.500, 0.500, 0.000)
Se (0.173, 0.173, 0.000)
Se (0.827, 0.827, 0.000)


(2)
Compound: PaTcSe
Source: Alexandria
Functional: PBE
Structure: optimized geometry

Values from the calculation:
density = 10.6 g cm⁻³
polymorph energy (0 for the lowest one) = 0.0000 eV per atom
symmetry = I4/mmm
DOS(E_F) = 2.590 states/eV/f.u.

a b c (Å): 9.010 9.010 9.010
angles (deg): 155.31 155.31 35.19
Fractional coordinates of all 6 atoms:
Pa (0.122, 0.122, 0.000)
Pa (0.878, 0.878, 0.000)
Tc (0.000, 0.500, 0.500)
Tc (0.500, 0.000, 0.500)
Se (0.310, 0.310, 0.000)
Se (0.690, 0.690, 0.000)


(3)
Compound: PaTcSe2
Source: Alexandria
Functional: PBE
Structure: optimized geometry

Values from the calculation:
total energy = -6.70 eV per atom
density = 9.4 g cm⁻³
symmetry = R-3m
DOS(E_F) = 6.111 states/eV/f.u.

a b c (Å): 9.375 9.375 9.375
angles (deg): 20.25 20.25 20.25
Fractional coordinates of all 4 atoms:
Pa (0.000, 0.000, 0.000)
Tc (0.500, 0.500, 0.500)
Se (0.413, 0.413, 0.413)
Se (0.587, 0.587, 0.587)


(4)
Compound: Pa2TeSe
Source: Alexandria
Functional: PBE
Structure: optimized geometry

Values from the calculation:
density = 10.7 g cm⁻³
polymorph energy (0 for the lowest one) = 0.0311 eV per atom
symmetry = R3m
DOS(E_F) = 7.184 states/eV/f.u.

a b c (Å): 8.463 8.463 8.463
angles (deg): 26.12 26.12 26.12
Fractional coordinates of all 4 atoms:
Pa (0.000, 0.000, 0.000)
Pa (0.181, 0.181, 0.181)
Te (0.757, 0.757, 0.757)
Se (0.590, 0.590, 0.590)